Record 1
# Y3MnOs (GGA-PBE, relaxed)
# N(E_F)   5.63 states/eV/f.u.
# Calculated formation energy   0.325 eV/atom
# Energy above the most stable polymorph in this dataset   0.00 eV per formula unit
data_Y3MnOs
_chemical_formula_sum 'Y3 Mn1 Os1'
_cell_length_a 5.367
_cell_length_b 5.367
_cell_length_c 5.367
_cell_angle_alpha 90.00
_cell_angle_beta 90.00
_cell_angle_gamma 90.00
_space_group_name_H-M_alt 'P 1'
_space_group_IT_number 1
_space_group_name_Hall 'P 1'
loop_
_atom_site_label
_atom_site_fract_x
_atom_site_fract_y
_atom_site_fract_z
_atom_site_occupancy
Os1 0.000 0.000 0.000 1
Y1 0.000 0.000 0.500 1
Y2 0.500 0.000 0.000 1
Y3 0.000 0.500 0.000 1
Mn1 0.500 0.500 0.500 1

=====

Record 2
# Mg5ZrHg4 (GGA-PBE, relaxed)
# N(E_F)   5.28 states/eV/f.u.
# Calculated formation energy   -0.156 eV/atom
data_Mg5ZrHg4
_chemical_formula_sum 'Mg5 Zr1 Hg4'
_cell_length_a 3.464
_cell_length_b 3.464
_cell_length_c 17.814
_cell_angle_alpha 90.00
_cell_angle_beta 90.00
_cell_angle_gamma 90.00
_space_group_name_H-M_alt 'P 1'
_space_group_IT_number 1
_space_group_name_Hall 'P 1'
loop_
_atom_site_label
_atom_site_fract_x
_atom_site_fract_y
_atom_site_fract_z
_atom_site_occupancy
Zr1 0.000 0.000 0.000 1
Mg1 0.500 0.500 0.500 1
Mg2 0.500 0.500 0.891 1
Mg3 0.500 0.500 0.109 1
Mg4 0.500 0.500 0.304 1
Mg5 0.500 0.500 0.696 1
Hg1 0.000 0.000 0.798 1
Hg2 0.000 0.000 0.597 1
Hg3 0.000 0.000 0.403 1
Hg4 0.000 0.000 0.202 1

=====

Record 3
# MnAl2Fe5B2 (GGA-PBE, relaxed)
# N(E_F)   10.71 states/eV/f.u.
# Calculated formation energy   -0.205 eV/atom
data_MnAl2Fe5B2
_chemical_formula_sum 'Mn2 Al4 Fe10 B4'
_cell_length_a 2.745
_cell_length_b 8.602
_cell_length_c 8.602
_cell_angle_alpha 90.00
_cell_angle_beta 90.00
_cell_angle_gamma 90.00
_space_group_name_H-M_alt 'P 1'
_space_group_IT_number 1
_space_group_name_Hall 'P 1'
loop_
_atom_site_label
_atom_site_fract_x
_atom_site_fract_y
_atom_site_fract_z
_atom_site_occupancy
Fe1 0.500 0.213 0.071 1
Fe2 0.500 0.287 0.571 1
Fe3 0.500 0.571 0.713 1
Fe4 0.500 0.787 0.929 1
Fe5 0.500 0.429 0.287 1
Fe6 0.500 0.500 0.000 1
Fe7 0.500 0.929 0.213 1
Fe8 0.500 0.071 0.787 1
Fe9 0.500 0.000 0.500 1
Fe10 0.500 0.713 0.429 1
B1 0.000 0.623 0.877 1
B2 0.000 0.123 0.623 1
B3 0.000 0.877 0.377 1
B4 0.000 0.377 0.123 1
Al1 0.000 0.675 0.175 1
Al2 0.000 0.325 0.825 1
Al3 0.000 0.175 0.325 1
Al4 0.000 0.825 0.675 1
Mn1 0.000 0.500 0.500 1
Mn2 0.000 0.000 0.000 1

=====

Record 4
# GeTeSe (GGA-PBE, relaxed)
# N(E_F)   0.02 states/eV/f.u.
# Energy above the most stable polymorph in this dataset   0.00 eV per formula unit
# ΔE_f (raw)   -0.11 eV/atom
data_GeTeSe
_chemical_formula_sum 'Ge2 Te2 Se2'
_cell_length_a 6.240
_cell_length_b 3.938
_cell_length_c 7.227
_cell_angle_alpha 90.00
_cell_angle_beta 104.08
_cell_angle_gamma 90.00
_space_group_name_H-M_alt 'P 1'
_space_group_IT_number 1
_space_group_name_Hall 'P 1'
loop_
_atom_site_label
_atom_site_fract_x
_atom_site_fract_y
_atom_site_fract_z
_atom_site_occupancy
Se1 0.766 0.750 0.058 1
Se2 0.234 0.250 0.942 1
Ge1 0.975 0.750 0.795 1
Ge2 0.025 0.250 0.205 1
Te1 0.674 0.250 0.528 1
Te2 0.326 0.750 0.472 1

=====

Record 5
# NaTlH2 (GGA-PBE, relaxed)
# N(E_F)   0.22 states/eV/f.u.
# Energy above the most stable polymorph in this dataset   0.05 eV per formula unit
data_NaTlH2
_chemical_formula_sum 'Na1 Tl1 H2'
_cell_length_a 3.586
_cell_length_b 3.586
_cell_length_c 6.492
_cell_angle_alpha 73.97
_cell_angle_beta 73.97
_cell_angle_gamma 60.00
_space_group_name_H-M_alt 'P 1'
_space_group_IT_number 1
_space_group_name_Hall 'P 1'
loop_
_atom_site_label
_atom_site_fract_x
_atom_site_fract_y
_atom_site_fract_z
_atom_site_occupancy
Tl1 0.500 0.500 0.500 1
Na1 0.000 0.000 0.000 1
H1 0.263 0.263 0.211 1
H2 0.737 0.737 0.789 1

=====

| no. | volume (Å³/atom) |
| --- | --- |
| 1 | 30.9 |
| 2 | 21.4 |
| 3 | 10.2 |
| 4 | 28.7 |
| 5 | 17.1 |